No. 1
Compound: AuO
Source: the Alexandria database
Functional: PBE
Structure: optimized geometry

* calculated volume: 19.4 Å³/atom
* magnetization: 0.000 μB/atom
* space-group type: I-43m, No. 217
* DFT total energy: -3.678 eV/atom
* ΔE_f (raw): 0.440 eV per atom

Cell: 6.7684 6.7684 6.7684 Å, 90.00 90.00 90.00°
Last column: nearest neighbours and their distance in Å.
Element x y z (fractional)
Au1 0.3081 0.3081 0.3081  1 O 1.99
Au2 0.3081 0.6919 0.6919  1 O 1.99
Au3 0.6919 0.3081 0.6919  1 O 1.99
Au4 0.6919 0.6919 0.3081  1 O 1.99
Au5 0.8081 0.8081 0.8081  1 O 1.99
Au6 0.8081 0.1919 0.1919  1 O 1.99
Au7 0.1919 0.8081 0.1919  1 O 1.99
Au8 0.1919 0.1919 0.8081  1 O 1.99
O1 0.1383 0.1383 0.1383  1 Au 1.99
O2 0.1383 0.8617 0.8617  1 Au 1.99
O3 0.8617 0.1383 0.8617  1 Au 1.99
O4 0.8617 0.8617 0.1383  1 Au 1.99
O5 0.6383 0.6383 0.6383  1 Au 1.99
O6 0.6383 0.3617 0.3617  1 Au 1.99
O7 0.3617 0.6383 0.3617  1 Au 1.99
O8 0.3617 0.3617 0.6383  1 Au 1.99

=====

No. 2
Compound: Pm2SnC
Source: the Alexandria database
Functional: PBE
Structure: optimized geometry

* calculated volume: 26.7 Å³/atom
* magnetization: 0.000 μB/atom
* space-group type: R-3m, No. 166
* DFT total energy: -5.797 eV/atom
* energy relative to the elements: -0.115 eV per atom
* distance to the lowest polymorph of the same formula: 0.000 eV per atom

Cell: 3.6395 3.6395 9.5557 Å, 79.02 79.02 60.00°
Last column: nearest neighbours and their distance in Å.
Element x y z (fractional)
C1 0.5000 0.5000 0.5000  6 Pm 2.52
Sn1 0.0000 0.0000 0.0000  2 Pm 3.27, 6 Sn 3.64
Pm1 0.1168 0.1168 0.6495  3 C 2.52
Pm2 0.8832 0.8832 0.3505  3 C 2.52

=====

No. 3
Compound: CaPrPa2O8
Source: the Alexandria database
Functional: PBE
Structure: optimized geometry

* calculated volume: 13.7 Å³/atom
* magnetization: 0.002 μB/atom
* space-group type: I-4m2, No. 119
* DFT total energy: -8.799 eV/atom
* ΔE_f (raw): -3.346 eV per atom

Cell: 5.5245 5.5245 6.6666 Å, 114.48 114.48 90.00°
Last column: nearest neighbours and their distance in Å.
Element x y z (fractional)
Ca1 0.0000 0.0000 0.0000  8 O 2.44
Pr1 0.7500 0.2500 0.5000  8 O 2.45
Pa1 0.5000 0.5000 0.0000  8 O 2.31
Pa2 0.2500 0.7500 0.5000  8 O 2.31
O1 0.8749 0.8530 0.2493  2 Pa 2.31, 1 Ca 2.44, 1 Pr 2.45, 1 O 2.52
O2 0.3743 0.3963 0.2493  2 Pa 2.31, 1 Ca 2.44, 1 Pr 2.45, 1 O 2.52
O3 0.6035 0.6257 0.7505  2 Pa 2.31, 1 Ca 2.44, 1 Pr 2.45, 1 O 2.52
O4 0.1470 0.1248 0.7505  2 Pa 2.31, 1 Ca 2.44, 1 Pr 2.45, 1 O 2.52
O5 0.8752 0.3965 0.2495  2 Pa 2.31, 1 Ca 2.44, 1 Pr 2.45, 1 O 2.52
O6 0.3743 0.8530 0.2495  2 Pa 2.31, 1 Ca 2.44, 1 Pr 2.45, 1 O 2.52
O7 0.1470 0.6257 0.7507  2 Pa 2.31, 1 Ca 2.44, 1 Pr 2.45, 1 O 2.52
O8 0.6037 0.1251 0.7507  2 Pa 2.31, 1 Ca 2.44, 1 Pr 2.45, 1 O 2.52

=====

No. 4
Compound: Tm2Te3
Source: the Alexandria database
Functional: PBE
Structure: optimized geometry

* calculated volume: 35.7 Å³/atom
* magnetization: 0.000 μB/atom
* space-group type: Fdd2, No. 43
* DFT total energy: -4.965 eV/atom
* ΔE_f (raw): -1.291 eV per atom

Cell: 7.8969 7.8969 7.6128 Å, 107.61 107.61 114.63°
Last column: nearest neighbours and their distance in Å.
Element x y z (fractional)
Tm1 0.3318 0.6034 0.0934  6 Te 3.00-3.14
Tm2 0.5100 0.2383 0.9066  6 Te 3.00-3.14
Tm3 0.4883 0.2600 0.4066  6 Te 3.00-3.14
Tm4 0.8534 0.0818 0.5934  6 Te 3.00-3.14
Te1 0.7395 0.6345 0.3434  4 Tm 3.03-3.08
Te2 0.2911 0.3961 0.6566  4 Tm 3.03-3.08
Te3 0.6461 0.0411 0.1566  4 Tm 3.03-3.08
Te4 0.8845 0.4895 0.8434  4 Tm 3.03-3.08
Te5 0.1276 0.1276 0.0000  4 Tm 3.00-3.14
Te6 0.3776 0.8776 0.5000  4 Tm 3.00-3.14